1.
VASP calculation (PBE-GGA) on crystalline In2H6Ru at its relaxed geometry.

The structure belongs to space group P2_1/c (No. 14); the cell edges are 5.1561, 4.6287 and 7.7907 Å and the angles 90.00°, 95.61° and 90.00°. Symmetry generates all atoms from In at (0.2402, 0.0051, 0.3039), H at (0.2462, 0.2307, 0.0234), H at (0.2515, 0.7393, 0.5202), H at (0.3839, 0.9995, 0.7895) and Ru at (0.5000, 0.0000, 0.0000).

For the mass density, the calculation gives 6.04 g cm⁻³. The calculation puts the total energy at -0.1360 Ha/atom. The calculation puts the magnetization at 0.0000 μB/atom.

***

2.
VASP calculation (PBE-GGA) on crystalline CeNp2N3 at its relaxed geometry.

The structure belongs to space group Immm (No. 71); the cell edges are 3.4725, 4.9573 and 10.4859 Å and the angles 90.00°, 90.00° and 90.00°. Symmetry generates all atoms from Ce at (0.0000, 0.0000, 0.0000), Np at (0.0000, 0.0000, 0.3351), N at (0.0000, 0.5000, 0.0000) and N at (0.0000, 0.5000, 0.3211).

For the mass density, the calculation gives 12.07 g cm⁻³. The calculation puts the magnetization at 1.1641 μB/atom. For the uncorrected formation energy, the calculation gives -1.24 eV per atom.

***

3.
VASP calculation (PBE-GGA) on crystalline PmCdIn at its relaxed geometry.

The structure belongs to space group I4mm (No. 107); the cell edges are 3.2245, 3.2245 and 17.1775 Å and the angles 90.00°, 90.00° and 90.00°. Symmetry generates all atoms from Pm at (0.0000, 0.0000, 0.0000), Cd at (0.0000, 0.0000, 0.1878) and In at (0.0000, 0.0000, 0.3572).

For the formation enthalpy at 0 K, the calculation gives 0.166 eV per formula unit. For the mass density, the calculation gives 6.92 g cm⁻³. Its excess energy over the best structure of this formula in the dataset is 491 meV per atom. The calculation puts the magnetization at 0.0000 μB/atom.

***

4.
VASP calculation (PBE-GGA) on crystalline Nd6Tl5In at its relaxed geometry.

The structure belongs to space group C2/m (No. 12); the cell edges are 9.9546, 11.6451 and 6.8402 Å and the angles 90.00°, 102.84° and 90.00°. Symmetry generates all atoms from Nd at (0.2495, 0.0000, 0.2469), Nd at (0.2503, 0.1659, 0.7509), Tl at (0.0000, 0.0000, 0.5000), Tl at (0.0000, 0.1691, 0.0000), Tl at (0.0000, 0.3347, 0.5000) and In at (0.0000, 0.5000, 0.0000).

For the formation enthalpy at 0 K, the calculation gives -3.253 eV per formula unit. For the mass density, the calculation gives 8.60 g cm⁻³. Its excess energy over the best structure of this formula in the dataset is 136 meV per atom. The calculation puts the magnetization at 0.0000 μB/atom.

***

5.
VASP calculation (PBE-GGA) on crystalline Sr3Ag8Sn3 at its relaxed geometry.

The structure belongs to space group C2/m (No. 12); the cell edges are 17.2216, 4.8292 and 9.9293 Å and the angles 90.00°, 124.08° and 90.00°. Symmetry generates all atoms from Sr at (0.0000, 0.0000, 0.0000), Sr at (0.1971, 0.5000, 0.7006), Ag at (0.0008, 0.5000, 0.3057), Ag at (0.1293, 0.0000, 0.8466), Ag at (0.1354, 0.0000, 0.4155), Ag at (0.1668, 0.5000, 0.0205), Sn at (0.0000, 0.0000, 0.5000) and Sn at (0.1649, 0.5000, 0.3027).

For the formation enthalpy at 0 K, the calculation gives -4.143 eV per formula unit. For the mass density, the calculation gives 7.20 g cm⁻³. The calculation puts the magnetization at 0.0000 μB/atom.

***

6.
VASP calculation (PBE-GGA) on crystalline FePd2Au at its relaxed geometry.

The structure belongs to space group R3m (No. 160, hexagonal axes); the cell edges are 2.8171, 2.8171 and 27.0072 Å and the angles 90.00°, 90.00° and 120.00°. Symmetry generates all atoms from Fe at (0.0000, 0.0000, 0.0000), Pd at (0.0000, 0.0000, 0.4094), Pd at (0.0000, 0.0000, 0.5905) and Au at (0.0000, 0.0000, 0.8332).

For the formation enthalpy at 0 K, the calculation gives -0.192 eV per formula unit. For the mass density, the calculation gives 12.50 g cm⁻³. The calculation puts the magnetization at 0.9477 μB/atom.

***

7.
VASP calculation (PBE-GGA) on crystalline Pr5Hg4Ru at its relaxed geometry.

The structure belongs to space group P4/mmm (No. 123); the cell edges are 3.7333, 3.7333 and 19.7238 Å and the angles 90.00°, 90.00° and 90.00°. Symmetry generates all atoms from Pr at (0.0000, 0.0000, 0.0000), Pr at (0.0000, 0.0000, 0.2060), Pr at (0.0000, 0.0000, 0.4154), Hg at (0.5000, 0.5000, 0.1029), Hg at (0.5000, 0.5000, 0.3072) and Ru at (0.5000, 0.5000, 0.5000).

For the formation enthalpy at 0 K, the calculation gives -3.867 eV per formula unit. For the mass density, the calculation gives 9.71 g cm⁻³. The calculation puts the magnetization at 0.0786 μB/atom.

***

8.
VASP calculation (PBE-GGA) on crystalline Cs12Cd3H5 at its relaxed geometry.

The structure belongs to space group Ia-3d (No. 230); the cell edges are 20.4771, 20.4771 and 20.4771 Å and the angles 90.00°, 90.00° and 90.00°. Symmetry generates all atoms from Cs at (0.0334, 0.0482, 0.6491), Cd at (0.0000, 0.2500, 0.1250), H at (0.0000, 0.0000, 0.0000) and H at (0.0000, 0.2500, 0.3750).

For the mass density, the calculation gives 3.00 g cm⁻³. The calculation puts the total energy at -0.0550 Ha/atom. The calculation puts the magnetization at 0.0010 μB/atom.

***

9.
VASP calculation (PBE-GGA) on crystalline CeP2Ru2Pt at its relaxed geometry.

The structure belongs to space group P4/mmm (No. 123); the cell edges are 4.5602, 4.5602 and 5.3721 Å and the angles 90.00°, 90.00° and 90.00°. Symmetry generates all atoms from Ce at (0.0000, 0.0000, 0.0000), P at (0.0000, 0.5000, 0.5000), Ru at (0.5000, 0.5000, 0.2431) and Pt at (0.0000, 0.0000, 0.5000).

For the formation enthalpy at 0 K, the calculation gives 0.176 eV per formula unit. For the mass density, the calculation gives 8.91 g cm⁻³. The calculation puts the magnetization at 0.0628 μB/atom.

***

10.
VASP calculation (PBE-GGA) on crystalline IrRu3 at its relaxed geometry.

The structure belongs to space group P6_3/mmc (No. 194); the cell edges are 5.4439, 5.4439 and 8.7690 Å and the angles 90.00°, 90.00° and 120.00°. Symmetry generates all atoms from Ir at (0.0000, 0.0000, 0.0000), Ir at (0.3333, 0.6667, 0.2500), Ru at (0.0000, 0.5000, 0.0000) and Ru at (0.1674, 0.3349, 0.7500).

For the formation enthalpy at 0 K, the calculation gives 0.076 eV per formula unit. For the mass density, the calculation gives 14.62 g cm⁻³. The calculation puts the magnetization at 0.0000 μB/atom.

***

11.
VASP calculation (PBE-GGA) on crystalline CsRb2Br at its relaxed geometry.

The structure belongs to space group R3m (No. 160, hexagonal axes); the cell edges are 5.0803, 5.0803 and 39.0071 Å and the angles 90.00°, 90.00° and 120.00°. Symmetry generates all atoms from Cs at (0.0000, 0.0000, 0.0000), Rb at (0.0000, 0.0000, 0.2184), Rb at (0.0000, 0.0000, 0.4490) and Br at (0.0000, 0.0000, 0.8339).

For the mass density, the calculation gives 2.19 g cm⁻³. Its excess energy over the best structure of this formula in the dataset is 0 meV per atom. The calculation puts the magnetization at 0.0000 μB/atom. For the uncorrected formation energy, the calculation gives -0.82 eV per atom.

***

12.
VASP calculation (PBE-GGA) on crystalline Sm4DyTm3 at its relaxed geometry.

The structure belongs to space group Pmmn (No. 59, origin choice 2); the cell edges are 5.0463, 10.0938 and 10.0641 Å and the angles 90.00°, 90.00° and 90.00°. Symmetry generates all atoms from Sm at (0.2500, 0.9996, 0.1282), Sm at (0.2500, 0.2500, 0.8714), Sm at (0.2500, 0.7500, 0.8718), Dy at (0.2500, 0.2500, 0.3793), Tm at (0.2500, 0.0001, 0.6207) and Tm at (0.2500, 0.7500, 0.3789).

For the formation enthalpy at 0 K, the calculation gives 0.213 eV per formula unit. For the mass density, the calculation gives 8.23 g cm⁻³. Its excess energy over the best structure of this formula in the dataset is 6 meV per atom. The calculation puts the magnetization at 0.0000 μB/atom.

***

13.
VASP calculation (PBE-GGA) on crystalline ZrSbAs at its relaxed geometry.

The structure belongs to space group I4mm (No. 107); the cell edges are 3.6483, 3.6483 and 9.6256 Å and the angles 90.00°, 90.00° and 90.00°. Symmetry generates all atoms from Zr at (0.0000, 0.0000, 0.0000), Sb at (0.0000, 0.0000, 0.6814) and As at (0.0000, 0.0000, 0.3780).

For the mass density, the calculation gives 7.46 g cm⁻³. Its excess energy over the best structure of this formula in the dataset is 0 meV per atom. The calculation puts the magnetization at 0.0000 μB/atom. For the uncorrected formation energy, the calculation gives -0.62 eV per atom.

***

14.
VASP calculation (PBE-GGA) on crystalline NaAcCuRh at its relaxed geometry.

The structure belongs to space group F-43m (No. 216); the cell edges are 7.1615, 7.1615 and 7.1615 Å and the angles 90.00°, 90.00° and 90.00°. Symmetry generates all atoms from Na at (0.0000, 0.0000, 0.0000), Ac at (0.0000, 0.0000, 0.5000), Cu at (0.2500, 0.2500, 0.7500) and Rh at (0.2500, 0.2500, 0.2500).

For the formation enthalpy at 0 K, the calculation gives -0.022 eV per formula unit. For the mass density, the calculation gives 7.53 g cm⁻³. The calculation puts the magnetization at 0.0000 μB/atom.

***

15.
VASP calculation (PBE-GGA) on crystalline BaTeMoN2 at its relaxed geometry.

The structure belongs to space group P4/mmm (No. 123); the cell edges are 4.2859, 4.2859 and 6.9286 Å and the angles 90.00°, 90.00° and 90.00°. Symmetry generates all atoms from Ba at (0.0000, 0.0000, 0.0000), Te at (0.0000, 0.0000, 0.5000), Mo at (0.5000, 0.5000, 0.5000) and N at (0.0000, 0.5000, 0.0000).

For the mass density, the calculation gives 5.07 g cm⁻³. Its excess energy over the best structure of this formula in the dataset is 2152 meV per atom. The calculation puts the magnetization at 0.0052 μB/atom. For the uncorrected formation energy, the calculation gives 2.31 eV per atom.

***

16.
VASP calculation (PBE-GGA) on crystalline SmDy2Ag3S6 at its relaxed geometry.

The structure belongs to space group C2/m (No. 12); the cell edges are 15.5252, 4.0807 and 9.5676 Å and the angles 90.00°, 105.63° and 90.00°. Symmetry generates all atoms from Sm at (0.0000, 0.0000, 0.0000), Dy at (0.1655, 0.5000, 0.3363), Ag at (0.0000, 0.0000, 0.5000), Ag at (0.1735, 0.5000, 0.9418), S at (0.0112, 0.5000, 0.8032), S at (0.1573, 0.0000, 0.5206) and S at (0.1854, 0.0000, 0.1452).

For the mass density, the calculation gives 5.64 g cm⁻³. The calculation puts the magnetization at 0.0000 μB/atom. For the uncorrected formation energy, the calculation gives -1.30 eV per atom.

***

17.
VASP calculation (PBE-GGA) on crystalline MnGaB2 at its relaxed geometry.

The structure belongs to space group I-42d (No. 122); the cell edges are 5.0470, 5.0470 and 8.0756 Å and the angles 90.00°, 90.00° and 90.00°. Symmetry generates all atoms from Mn at (0.0000, 0.0000, 0.0000), Ga at (0.0000, 0.0000, 0.5000) and B at (0.2130, 0.2500, 0.1250).

For the formation enthalpy at 0 K, the calculation gives 3.372 eV per formula unit. For the mass density, the calculation gives 4.72 g cm⁻³. The calculation puts the magnetization at 0.1892 μB/atom.

***

18.
VASP calculation (PBE-GGA) on crystalline Li2IrRu at its relaxed geometry.

The structure belongs to space group P4/mmm (No. 123); the cell edges are 2.5429, 2.5429 and 8.6046 Å and the angles 90.00°, 90.00° and 90.00°. Symmetry generates all atoms from Li at (0.0000, 0.0000, 0.2438), Ir at (0.5000, 0.5000, 0.0000) and Ru at (0.5000, 0.5000, 0.5000).

For the formation enthalpy at 0 K, the calculation gives 0.599 eV per formula unit. For the mass density, the calculation gives 9.17 g cm⁻³. Its excess energy over the best structure of this formula in the dataset is 197 meV per atom. The calculation puts the magnetization at 0.0365 μB/atom.

***

19.
VASP calculation (PBE-GGA) on crystalline CeNd2V at its relaxed geometry.

The structure belongs to space group R-3m (No. 166, hexagonal axes); the cell edges are 3.3854, 3.3854 and 34.6700 Å and the angles 90.00°, 90.00° and 120.00°. Symmetry generates all atoms from Ce at (0.0000, 0.0000, 0.0000), Nd at (0.0000, 0.0000, 0.4177) and V at (0.0000, 0.0000, 0.5000).

For the formation enthalpy at 0 K, the calculation gives 2.589 eV per formula unit. For the mass density, the calculation gives 6.94 g cm⁻³. The calculation puts the magnetization at 0.7097 μB/atom.

***

20.
VASP calculation (PBE-GGA) on crystalline ZnCd2Ag at its relaxed geometry.

The structure belongs to space group R3m (No. 160, hexagonal axes); the cell edges are 4.6681, 4.6681 and 13.8692 Å and the angles 90.00°, 90.00° and 120.00°. Symmetry generates all atoms from Zn at (0.0000, 0.0000, 0.0000), Cd at (0.0000, 0.0000, 0.5828), Cd at (0.0000, 0.0000, 0.7878) and Ag at (0.0000, 0.0000, 0.1934).

For the formation enthalpy at 0 K, the calculation gives 0.443 eV per formula unit. For the mass density, the calculation gives 7.58 g cm⁻³. The calculation puts the magnetization at 0.0000 μB/atom.

***

21.
VASP calculation (PBE-GGA) on crystalline Pu5NpSe8 at its relaxed geometry.

The structure belongs to space group I-4 (No. 82); the cell edges are 8.7471, 8.7471 and 8.7517 Å and the angles 90.00°, 90.00° and 90.00°. Symmetry generates all atoms from Pu at (0.0000, 0.0000, 0.0000), Pu at (0.1249, 0.7497, 0.3741), Np at (0.0000, 0.5000, 0.7500), Se at (0.0751, 0.6729, 0.0485) and Se at (0.0745, 0.8227, 0.6983).

For the mass density, the calculation gives 10.36 g cm⁻³. The calculation puts the magnetization at 1.4375 μB/atom. For the uncorrected formation energy, the calculation gives -1.47 eV per atom.